1.
Entry from the Alexandria database: ReTcOs2 at its PBEsol-relaxed geometry (SCAN).

Volume, Å³ per cell: 57
E_form, eV/atom: 0.026
Energy relative to the lowest polymorph listed for this composition, meV per atom: 147
Spin magnetization, μB per formula unit: 0.0
Crystal system: orthorhombic

Cell and atoms, written as POSCAR:
```
ReTcOs2
1.0
-1.8253 1.9056 -0.6464
0.8072 -0.7754 -4.5651
-3.4617 -2.8135 1.4810
Os Re Tc
2 1 1
direct
0.0000 0.5000 0.0000
0.0000 0.0000 0.5000
0.5000 0.0000 0.0000
0.5000 0.5000 0.5000
```

---

2.
Entry from the Alexandria database: ReTcOs2 at its PBEsol-relaxed geometry (SCAN).

Volume, Å³ per cell: 56
E_form, eV/atom: -0.122
Energy relative to the lowest polymorph listed for this composition, meV per atom: 0
Spin magnetization, μB per formula unit: 0.0
Crystal system: orthorhombic

Cell and atoms, written as POSCAR:
```
ReTcOs2
1.0
2.7354 0.0000 0.0000
0.0000 4.3449 0.0000
0.0000 0.0000 4.7374
Re Os Tc
1 2 1
direct
0.5000 0.0000 0.5397
0.0000 0.0000 0.0445
0.0000 0.5000 0.7081
0.5000 0.5000 0.2077
```

---

3.
Entry from the Alexandria database: ReTcOs2 at its PBEsol-relaxed geometry (SCAN).

Volume, Å³ per cell: 57
E_form, eV/atom: 0.063
Energy relative to the lowest polymorph listed for this composition, meV per atom: 184
Spin magnetization, μB per formula unit: 0.0
Crystal system: monoclinic

Cell and atoms, written as POSCAR:
```
ReTcOs2
1.0
-1.7153 1.1109 1.7877
-0.6857 -4.2076 1.9568
4.3556 0.8933 1.5620
Os Re Tc
2 1 1
direct
0.2497 0.2516 0.4993
0.7503 0.7484 0.5007
0.5000 0.0000 0.0000
0.0000 0.5000 0.0000
```

---

4.
Entry from the Alexandria database: ReTc2Os at its PBEsol-relaxed geometry (SCAN).

Volume, Å³ per cell: 57
E_form, eV/atom: 0.033
Energy relative to the lowest polymorph listed for this composition, meV per atom: 14
Spin magnetization, μB per formula unit: 0.0
Crystal system: monoclinic

Cell and atoms, written as POSCAR:
```
ReTc2Os
1.0
2.7146 0.0000 0.0000
-1.3573 4.5082 -0.0045
0.0000 -0.8131 4.6387
Os Re Tc
1 1 2
direct
0.5028 0.0057 0.5010
0.7488 0.4976 0.2516
0.0040 0.0081 0.9988
0.2443 0.4886 0.7486
```

---

5.
Entry from the Alexandria database: ReTcOs2 at its PBEsol-relaxed geometry (SCAN).

Volume, Å³ per cell: 57
E_form, eV/atom: 0.056
Energy relative to the lowest polymorph listed for this composition, meV per atom: 178
Spin magnetization, μB per formula unit: 0.0
Crystal system: monoclinic

Cell and atoms, written as POSCAR:
```
ReTcOs2
1.0
2.7151 0.0000 0.0000
-1.3576 4.5044 0.0014
0.0000 -0.8164 4.6315
Os Re Tc
2 1 1
direct
0.0005 0.0011 0.0042
0.2493 0.4986 0.7478
0.5024 0.0047 0.5046
0.7478 0.4956 0.2433
```

---

6.
Entry from the Alexandria database: ReTc2Os at its PBEsol-relaxed geometry (SCAN).

Volume, Å³ per cell: 57
E_form, eV/atom: 0.019
Energy relative to the lowest polymorph listed for this composition, meV per atom: 0
Spin magnetization, μB per formula unit: 0.0
Crystal system: tetragonal

Cell and atoms, written as POSCAR:
```
ReTc2Os
1.0
-0.1011 -3.8291 0.2411
3.7075 -0.1595 -0.9796
0.9894 0.2076 3.7109
Os Re Tc
1 1 2
direct
0.5000 0.5000 0.5000
0.0000 0.0000 0.5000
0.0000 0.5000 0.0000
0.5000 0.0000 0.0000
```

---

7.
Entry from the Alexandria database: ReTeOs at its PBEsol-relaxed geometry (SCAN).

Volume, Å³ per cell: 51
Spin magnetization, μB per formula unit: 0.0
Crystal system: tetragonal
Energy relative to the elements, uncorrected, eV/atom: 0.695

Cell and atoms, written as POSCAR:
```
ReTeOs
1.0
-1.0271 -2.5217 -1.2210
0.2510 -1.3781 2.6349
-4.9764 3.4960 0.6128
Os Re Te
1 1 1
direct
0.0181 0.0181 0.0363
0.6510 0.6510 0.3021
0.3308 0.3308 0.6616
```

---

8.
Entry from the Alexandria database: Re2TeOs at its PBEsol-relaxed geometry (SCAN).

Volume, Å³ per cell: 64
Spin magnetization, μB per formula unit: 0.0
Crystal system: monoclinic
Energy relative to the elements, uncorrected, eV/atom: 0.683

Cell and atoms, written as POSCAR:
```
Re2TeOs
1.0
-1.7549 0.8929 -2.1567
-1.9181 -4.2764 -0.2097
-2.1360 1.2619 4.2377
Os Re Te
1 2 1
direct
0.2691 0.7777 0.5381
0.0016 0.9933 0.0033
0.7316 0.2294 0.4632
0.4977 0.4996 0.9954
```

---

9.
Entry from the Alexandria database: ReTeOs2 at its PBEsol-relaxed geometry (SCAN).

Volume, Å³ per cell: 64
Spin magnetization, μB per formula unit: 0.0
Crystal system: tetragonal
Energy relative to the elements, uncorrected, eV/atom: 0.619

Cell and atoms, written as POSCAR:
```
ReTeOs2
1.0
2.9297 0.0000 0.0000
0.0000 2.9297 0.0000
0.0000 0.0000 7.4366
Os Re Te
2 1 1
direct
0.0000 0.0000 0.7699
0.0000 0.0000 0.2301
0.5000 0.5000 0.0000
0.5000 0.5000 0.5000
```

---

10.
Entry from the Alexandria database: Re2TeOs at its PBEsol-relaxed geometry (SCAN).

Volume, Å³ per cell: 67
Spin magnetization, μB per formula unit: 0.0
Crystal system: orthorhombic
Energy relative to the elements, uncorrected, eV/atom: 0.971

Cell and atoms, written as POSCAR:
```
Re2TeOs
1.0
2.8072 -0.0086 0.0000
-1.3199 2.4775 0.0000
0.0000 0.0000 9.6207
Os Re Te
1 2 1
direct
0.5000 0.5000 0.2284
0.0000 0.0000 0.0011
0.5000 0.5000 0.7757
0.0000 0.0000 0.4949
```

---

11.
Entry from the Alexandria database: ReTeOs2 at its PBEsol-relaxed geometry (SCAN).

Volume, Å³ per cell: 63
Spin magnetization, μB per formula unit: 0.0
Crystal system: orthorhombic
Energy relative to the elements, uncorrected, eV/atom: 0.884

Cell and atoms, written as POSCAR:
```
ReTeOs2
1.0
-2.3926 1.5249 0.6366
-2.5868 -2.9842 -2.5738
-0.0683 -1.9067 4.3105
Os Re Te
2 1 1
direct
0.0000 0.5000 0.0000
0.0000 0.0000 0.5000
0.5000 0.0000 0.0000
0.5000 0.5000 0.5000
```

---

12.
Entry from the Alexandria database: TlReOs2 at its PBEsol-relaxed geometry (SCAN).

Volume, Å³ per cell: 64
E_form, eV/atom: 0.834
Energy relative to the lowest polymorph listed for this composition, meV per atom: 83
Spin magnetization, μB per formula unit: 0.0
Crystal system: orthorhombic

Cell and atoms, written as POSCAR:
```
TlReOs2
1.0
-0.1513 1.6149 2.2827
-3.2268 -1.9033 1.1326
3.2962 -3.8412 2.9361
Os Re Tl
2 1 1
direct
0.0000 0.0000 0.0243
0.5000 0.5000 0.2643
0.0000 0.0000 0.4553
0.5000 0.5000 0.7561
```

---

13.
Entry from the Alexandria database: TlReOs2 at its PBEsol-relaxed geometry (SCAN).

Volume, Å³ per cell: 64
E_form, eV/atom: 0.751
Energy relative to the lowest polymorph listed for this composition, meV per atom: 0
Spin magnetization, μB per formula unit: 0.0
Crystal system: orthorhombic

Cell and atoms, written as POSCAR:
```
TlReOs2
1.0
-0.9586 -0.1981 2.6398
-3.1496 -1.6527 -1.2677
2.6048 -5.3801 0.5421
Os Re Tl
2 1 1
direct
0.0000 0.0000 0.7820
0.0000 0.0000 0.2180
0.5000 0.5000 0.0000
0.5000 0.5000 0.5000
```

---

14.
Entry from the Alexandria database: ReOsW2 at its PBEsol-relaxed geometry (SCAN).

Volume, Å³ per cell: 60
E_form, eV/atom: 0.142
Energy relative to the lowest polymorph listed for this composition, meV per atom: 0
Spin magnetization, μB per formula unit: 0.0
Crystal system: tetragonal

Cell and atoms, written as POSCAR:
```
ReOsW2
1.0
3.8738 0.0000 0.0000
0.0000 3.9407 0.0000
0.0000 0.0000 3.9407
Os Re W
1 1 2
direct
0.5000 0.5000 0.5000
0.5000 0.0000 0.0000
0.0000 0.0000 0.5000
0.0000 0.5000 0.0000
```

---

15.
Entry from the Alexandria database: ReOsW2 at its PBEsol-relaxed geometry (SCAN).

Volume, Å³ per cell: 60
E_form, eV/atom: 0.260
Energy relative to the lowest polymorph listed for this composition, meV per atom: 118
Spin magnetization, μB per formula unit: 0.0
Crystal system: cubic

Cell and atoms, written as POSCAR:
```
ReOsW2
1.0
-2.6263 -0.1550 -3.5277
0.2547 -3.3976 -2.7853
-3.2659 -2.9439 -0.1842
Os Re W
1 1 2
direct
0.5000 0.5000 0.5000
0.2500 0.2500 0.2500
0.0000 0.0000 0.0000
0.7500 0.7500 0.7500
```